(1)
Entry from Alexandria via LeMat-Bulk: a geometry-optimized Pa2VSi2Ru5 structure (PBE).

Cell and atoms, written as extended XYZ:
```
20
Lattice="9.816 0.000 0.000 0.000 9.816 0.000 0.000 0.000 3.404" Properties=species:S:1:pos:R:3 pbc="T T T"
Pa 1.727 3.181 0.000
Pa 3.181 8.089 0.000
Pa 6.635 1.727 0.000
Pa 8.089 6.635 0.000
V 0.000 0.000 0.000
V 4.908 4.908 0.000
Si 1.207 6.114 0.000
Si 3.701 1.207 0.000
Si 6.114 8.609 0.000
Si 8.609 3.701 0.000
Ru 0.000 4.908 1.702
Ru 0.697 7.759 1.702
Ru 2.057 0.697 1.702
Ru 2.851 5.605 1.702
Ru 4.211 2.851 1.702
Ru 4.908 0.000 1.702
Ru 5.605 6.964 1.702
Ru 6.964 4.211 1.702
Ru 7.759 9.118 1.702
Ru 9.118 2.057 1.702
```

## Properties
E_form (uncorrected): -0.49 eV per atom
Calculated density: 10.9 g/cm³
DFT total energy: -180.5 eV for the cell shown
Symmetry: P4/mbm

(2)
Entry from Alexandria via LeMat-Bulk: a geometry-optimized PaSi2Ru5W structure (PBE).

Cell and atoms, written as extended XYZ:
```
9
Lattice="3.865 0.000 0.000 0.000 3.865 0.000 0.000 0.000 11.021" Properties=species:S:1:pos:R:3 pbc="T T T"
Pa 0.000 0.000 0.000
Si 1.933 1.933 2.334
Si 1.933 1.933 8.687
Ru 0.000 1.933 3.778
Ru 0.000 1.933 7.243
Ru 1.933 0.000 3.778
Ru 1.933 0.000 7.243
Ru 1.933 1.933 0.000
W 1.933 1.933 5.510
```

## Properties
E_form (uncorrected): 0.21 eV per atom
Calculated density: 9.8 g/cm³
DFT total energy: -77.8 eV for the cell shown
Symmetry: P4/mmm

(3)
Entry from Alexandria via LeMat-Bulk: a geometry-optimized PaSi2RuW structure (PBE).

Cell and atoms, written as extended XYZ:
```
5
Lattice="-2.069 2.069 5.041 2.069 -2.069 5.041 2.069 2.069 -5.041" Properties=species:S:1:pos:R:3 pbc="T T T"
Pa 0.000 0.000 0.000
Si 0.000 0.000 3.851
Si 0.000 0.000 6.231
Ru 2.069 0.000 2.521
W 0.000 2.069 2.521
```

## Properties
E_form (uncorrected): -0.45 eV per atom
Calculated density: 11.0 g/cm³
DFT total energy: -44.8 eV for the cell shown
Symmetry: I-4m2

(4)
Entry from Alexandria via LeMat-Bulk: a geometry-optimized Pa2Si2Ru5W structure (PBE).

Cell and atoms, written as extended XYZ:
```
20
Lattice="9.699 0.000 0.000 0.000 9.699 0.000 0.000 0.000 3.527" Properties=species:S:1:pos:R:3 pbc="T T T"
Pa 1.717 3.133 0.000
Pa 3.133 7.982 0.000
Pa 6.566 1.717 0.000
Pa 7.982 6.566 0.000
Si 1.172 6.022 0.000
Si 3.677 1.172 0.000
Si 6.022 8.527 0.000
Si 8.527 3.677 0.000
Ru 0.000 4.849 1.763
Ru 0.701 7.665 1.763
Ru 2.034 0.701 1.763
Ru 2.815 5.550 1.763
Ru 4.149 2.815 1.763
Ru 4.849 0.000 1.763
Ru 5.550 6.883 1.763
Ru 6.883 4.149 1.763
Ru 7.665 8.998 1.763
Ru 8.998 2.034 1.763
W 0.000 0.000 0.000
W 4.849 4.849 0.000
```

## Properties
E_form (uncorrected): -0.43 eV per atom
Calculated density: 12.1 g/cm³
DFT total energy: -186.9 eV for the cell shown
Symmetry: P4/mbm

(5)
Entry from Alexandria via LeMat-Bulk: a geometry-optimized Pa2ZnSi2Ru5 structure (PBE).

Cell and atoms, written as extended XYZ:
```
20
Lattice="9.760 0.000 0.000 0.000 9.760 0.000 0.000 0.000 3.448" Properties=species:S:1:pos:R:3 pbc="T T T"
Pa 1.725 3.155 0.000
Pa 3.155 8.036 0.000
Pa 6.605 1.725 0.000
Pa 8.036 6.605 0.000
Zn 0.000 0.000 0.000
Zn 4.880 4.880 0.000
Si 1.200 6.080 0.000
Si 3.680 1.200 0.000
Si 6.080 8.560 0.000
Si 8.560 3.680 0.000
Ru 0.000 4.880 1.724
Ru 0.743 7.712 1.724
Ru 2.048 0.743 1.724
Ru 2.832 5.623 1.724
Ru 4.138 2.832 1.724
Ru 4.880 0.000 1.724
Ru 5.623 6.929 1.724
Ru 6.929 4.138 1.724
Ru 7.712 9.018 1.724
Ru 9.018 2.048 1.724
```

## Properties
E_form (uncorrected): -0.57 eV per atom
Calculated density: 11.0 g/cm³
DFT total energy: -166.3 eV for the cell shown
Symmetry: P4/mbm

(6)
Entry from Alexandria via LeMat-Bulk: a geometry-optimized Zr2PaSi2Ru5 structure (PBE).

Cell and atoms, written as extended XYZ:
```
20
Lattice="9.673 0.000 0.000 0.000 9.673 0.000 0.000 0.000 3.517" Properties=species:S:1:pos:R:3 pbc="T T T"
Zr 1.641 3.195 0.000
Zr 3.195 8.032 0.000
Zr 6.477 1.641 0.000
Zr 8.032 6.477 0.000
Pa 0.000 0.000 0.000
Pa 4.836 4.836 0.000
Si 1.215 6.051 0.000
Si 3.621 1.215 0.000
Si 6.051 8.457 0.000
Si 8.457 3.621 0.000
Ru 0.000 4.836 1.758
Ru 0.685 7.627 1.758
Ru 2.045 0.685 1.758
Ru 2.791 5.521 1.758
Ru 4.151 2.791 1.758
Ru 4.836 0.000 1.758
Ru 5.521 6.882 1.758
Ru 6.882 4.151 1.758
Ru 7.627 8.988 1.758
Ru 8.988 2.045 1.758
```

## Properties
E_form (uncorrected): -0.72 eV per atom
Calculated density: 9.8 g/cm³
DFT total energy: -182.1 eV for the cell shown
Symmetry: P4/mbm

(7)
Entry from Alexandria via LeMat-Bulk: a geometry-optimized ZrPa2Si2Ru5 structure (PBE).

Cell and atoms, written as extended XYZ:
```
20
Lattice="9.995 0.000 0.000 0.000 9.995 0.000 0.000 0.000 3.429" Properties=species:S:1:pos:R:3 pbc="T T T"
Zr 0.000 0.000 0.000
Zr 4.997 4.997 0.000
Pa 1.749 3.249 0.000
Pa 3.249 8.246 0.000
Pa 6.746 1.749 0.000
Pa 8.246 6.746 0.000
Si 1.221 6.218 0.000
Si 3.777 1.221 0.000
Si 6.218 8.774 0.000
Si 8.774 3.777 0.000
Ru 0.000 4.997 1.715
Ru 0.706 7.835 1.715
Ru 2.160 0.706 1.715
Ru 2.838 5.704 1.715
Ru 4.291 2.838 1.715
Ru 4.997 0.000 1.715
Ru 5.704 7.157 1.715
Ru 7.157 4.291 1.715
Ru 7.835 9.289 1.715
Ru 9.289 2.160 1.715
```

## Properties
E_form (uncorrected): -0.65 eV per atom
Calculated density: 10.8 g/cm³
DFT total energy: -182.6 eV for the cell shown
Symmetry: P4/mbm

(8)
Entry from Alexandria via LeMat-Bulk: a geometry-optimized Sm2Pa4Ru9 structure (PBE).

Cell and atoms, written as extended XYZ:
```
15
Lattice="4.483 0.000 0.000 -2.241 3.882 0.000 0.000 0.000 17.408" Properties=species:S:1:pos:R:3 pbc="T T T"
Sm 0.000 2.588 4.432
Sm 2.241 1.294 12.975
Pa 0.000 2.588 10.444
Pa 0.000 2.588 15.717
Pa 2.241 1.294 1.690
Pa 2.241 1.294 6.963
Ru 0.000 0.000 0.000
Ru 0.000 0.000 2.774
Ru 0.000 0.000 6.049
Ru 0.000 0.000 11.358
Ru 0.000 0.000 14.633
Ru 0.000 2.588 1.389
Ru 0.000 2.588 7.519
Ru 2.241 1.294 9.889
Ru 2.241 1.294 16.019
```

## Properties
Calculated density: 11.7 g/cm³
DFT total energy: -135.8 eV for the cell shown
Formation enthalpy at 0 K: -0.33 eV/atom
Symmetry: P-3m1

(9)
Entry from Alexandria via LeMat-Bulk: a geometry-optimized Sm3PaRu4 structure (PBE).

Cell and atoms, written as extended XYZ:
```
8
Lattice="-2.836 4.182 3.976 2.836 -4.182 3.976 2.836 4.182 -3.976" Properties=species:S:1:pos:R:3 pbc="T T T"
Sm 0.000 0.000 0.000
Sm 2.836 2.001 1.029
Sm 0.000 2.182 5.005
Pa 0.000 4.182 0.978
Ru 2.836 2.030 -1.781
Ru 1.391 4.182 -1.183
Ru 1.445 0.000 2.793
Ru 0.000 2.153 2.195
```

## Properties
Calculated density: 9.6 g/cm³
DFT total energy: -62.0 eV for the cell shown
Energy above the lowest structure with this stoichiometry: 0.1569 eV per atom
Formation enthalpy at 0 K: -0.16 eV/atom
Symmetry: Imm2

(10)
Entry from Alexandria via LeMat-Bulk: a geometry-optimized SmPaRu2 structure (PBE).

Cell and atoms, written as extended XYZ:
```
4
Lattice="1.917 1.107 6.919 -1.917 1.107 6.919 0.000 -2.214 6.919" Properties=species:S:1:pos:R:3 pbc="T T T"
Sm 0.000 0.000 0.000
Pa 0.000 0.000 10.378
Ru 0.000 0.000 5.031
Ru 0.000 0.000 15.726
```

## Properties
Calculated density: 11.0 g/cm³
DFT total energy: -33.6 eV for the cell shown
Energy above the lowest structure with this stoichiometry: 0.2042 eV per atom
Formation enthalpy at 0 K: -0.22 eV/atom
Symmetry: R-3m

- DFT total energy of number 5 (Pa2ZnSi2Ru5)?
  -166.3 eV for the cell shown

What did the first record say?
Entry from Alexandria via LeMat-Bulk: a geometry-optimized Pa2VSi2Ru5 structure (PBE).

Cell and atoms, written as extended XYZ:
```
20
Lattice="9.816 0.000 0.000 0.000 9.816 0.000 0.000 0.000 3.404" Properties=species:S:1:pos:R:3 pbc="T T T"
Pa 1.727 3.181 0.000
Pa 3.181 8.089 0.000
Pa 6.635 1.727 0.000
Pa 8.089 6.635 0.000
V 0.000 0.000 0.000
V 4.908 4.908 0.000
Si 1.207 6.114 0.000
Si 3.701 1.207 0.000
Si 6.114 8.609 0.000
Si 8.609 3.701 0.000
Ru 0.000 4.908 1.702
Ru 0.697 7.759 1.702
Ru 2.057 0.697 1.702
Ru 2.851 5.605 1.702
Ru 4.211 2.851 1.702
Ru 4.908 0.000 1.702
Ru 5.605 6.964 1.702
Ru 6.964 4.211 1.702
Ru 7.759 9.118 1.702
Ru 9.118 2.057 1.702
```

## Properties
E_form (uncorrected): -0.49 eV per atom
Calculated density: 10.9 g/cm³
DFT total energy: -180.5 eV for the cell shown
Symmetry: P4/mbm

What did the sixth record say?
Entry from Alexandria via LeMat-Bulk: a geometry-optimized Zr2PaSi2Ru5 structure (PBE).

Cell and atoms, written as extended XYZ:
```
20
Lattice="9.673 0.000 0.000 0.000 9.673 0.000 0.000 0.000 3.517" Properties=species:S:1:pos:R:3 pbc="T T T"
Zr 1.641 3.195 0.000
Zr 3.195 8.032 0.000
Zr 6.477 1.641 0.000
Zr 8.032 6.477 0.000
Pa 0.000 0.000 0.000
Pa 4.836 4.836 0.000
Si 1.215 6.051 0.000
Si 3.621 1.215 0.000
Si 6.051 8.457 0.000
Si 8.457 3.621 0.000
Ru 0.000 4.836 1.758
Ru 0.685 7.627 1.758
Ru 2.045 0.685 1.758
Ru 2.791 5.521 1.758
Ru 4.151 2.791 1.758
Ru 4.836 0.000 1.758
Ru 5.521 6.882 1.758
Ru 6.882 4.151 1.758
Ru 7.627 8.988 1.758
Ru 8.988 2.045 1.758
```

## Properties
E_form (uncorrected): -0.72 eV per atom
Calculated density: 9.8 g/cm³
DFT total energy: -182.1 eV for the cell shown
Symmetry: P4/mbm